(1)
The following is a DFT calculation (PBEsol) of SiNi2As after structural relaxation.

Unit cell a=5.037 b=13.873 c=5.934 alpha=90.00 beta=90.00 gamma=90.00
Sites, in units of the cell vectors:
Si1 0.181 0.057 0.072
Si2 0.181 0.443 0.572
Si3 0.319 0.557 0.072
Si4 0.319 0.943 0.572
Si5 0.681 0.057 0.428
Si6 0.681 0.443 0.928
Si7 0.819 0.557 0.428
Si8 0.819 0.943 0.928
Ni1 0.011 0.058 0.695
Ni2 0.011 0.442 0.195
Ni3 0.016 0.668 0.198
Ni4 0.016 0.832 0.698
Ni5 0.484 0.168 0.198
Ni6 0.484 0.332 0.698
Ni7 0.489 0.558 0.695
Ni8 0.489 0.942 0.195
Ni9 0.511 0.058 0.805
Ni10 0.511 0.442 0.305
Ni11 0.516 0.668 0.302
Ni12 0.516 0.832 0.802
Ni13 0.984 0.168 0.302
Ni14 0.984 0.332 0.802
Ni15 0.989 0.558 0.805
Ni16 0.989 0.942 0.305
As1 0.186 0.684 0.572
As2 0.186 0.816 0.072
As3 0.314 0.184 0.572
As4 0.314 0.316 0.072
As5 0.686 0.684 0.928
As6 0.686 0.816 0.428
As7 0.814 0.184 0.928
As8 0.814 0.316 0.428

Results
Energy relative to the elements, uncorrected (meV/atom): -453
SG: Pbca (61)
Calculated density (g/cm³): 7.06

=====

(2)
The following is a DFT calculation (PBEsol) of SbMo2Br after structural relaxation.

Unit cell a=6.640 b=6.640 c=6.640 alpha=90.00 beta=90.00 gamma=90.00
Sites, in units of the cell vectors:
Sb1 0.000 0.000 0.000
Sb2 0.000 0.500 0.500
Sb3 0.500 0.000 0.500
Sb4 0.500 0.500 0.000
Mo1 0.000 0.000 0.500
Mo2 0.000 0.500 0.000
Mo3 0.250 0.250 0.250
Mo4 0.250 0.750 0.750
Mo5 0.500 0.000 0.000
Mo6 0.500 0.500 0.500
Mo7 0.750 0.250 0.750
Mo8 0.750 0.750 0.250
Br1 0.250 0.250 0.750
Br2 0.250 0.750 0.250
Br3 0.750 0.250 0.250
Br4 0.750 0.750 0.750

Results
Energy relative to the elements, uncorrected (meV/atom): 994
SG: F-43m (216)
Calculated density (g/cm³): 8.93
Polymorph energy (0 for the lowest one) (eV/f.u.): 1.61

=====

(3)
The following is a DFT calculation (PBEsol) of Li2MnIrI after structural relaxation.

Unit cell a=4.564 b=4.564 c=5.111 alpha=90.00 beta=90.00 gamma=90.00
Sites, in units of the cell vectors:
Li1 0.000 0.500 0.000
Li2 0.500 0.000 0.000
Mn1 0.000 0.000 0.500
Ir1 0.500 0.500 0.500
I1 0.000 0.000 0.000

Results
Energy relative to the elements, uncorrected (meV/atom): 1034
SG: P4/mmm (123)
Calculated density (g/cm³): 6.05

=====

(4)
The following is a DFT calculation (PBEsol) of Sr2Nd2TlNi2O9 after structural relaxation.

Unit cell a=15.021 b=3.735 c=15.020 alpha=82.88 beta=14.29 gamma=82.84
Sites, in units of the cell vectors:
Sr1 0.084 0.916 0.084
Sr2 0.916 0.084 0.916
Nd1 0.203 0.797 0.203
Nd2 0.797 0.203 0.797
Tl1 0.515 0.515 0.485
Ni1 0.355 0.644 0.356
Ni2 0.644 0.355 0.645
O1 0.150 0.349 0.151
O2 0.282 0.717 0.283
O3 0.349 0.150 0.350
O4 0.419 0.576 0.424
O5 0.576 0.419 0.581
O6 0.650 0.849 0.651
O7 0.717 0.282 0.718
O8 0.849 0.650 0.850
O9 0.974 0.974 0.026

Results
Energy relative to the elements, uncorrected (meV/atom): -2156
SG: Fmm2 (42)
Calculated density (g/cm³): 7.48

=====

(5)
The following is a DFT calculation (PBEsol) of RbScAs2O7 after structural relaxation.

Unit cell a=7.835 b=10.689 c=8.832 alpha=90.00 beta=106.73 gamma=90.00
Sites, in units of the cell vectors:
Rb1 0.168 0.176 0.050
Rb2 0.168 0.324 0.550
Rb3 0.832 0.676 0.450
Rb4 0.832 0.824 0.950
Sc1 0.236 0.599 0.266
Sc2 0.236 0.901 0.766
Sc3 0.764 0.099 0.234
Sc4 0.764 0.401 0.734
As1 0.138 0.593 0.836
As2 0.138 0.907 0.336
As3 0.443 0.639 0.693
As4 0.443 0.861 0.193
As5 0.557 0.139 0.807
As6 0.557 0.361 0.307
As7 0.862 0.093 0.664
As8 0.862 0.407 0.164
O1 0.000 0.013 0.220
O2 0.000 0.487 0.720
O3 0.000 0.513 0.280
O4 0.000 0.987 0.780
O5 0.085 0.736 0.754
O6 0.085 0.764 0.254
O7 0.145 0.589 0.027
O8 0.145 0.911 0.527
O9 0.304 0.609 0.512
O10 0.304 0.891 0.012
O11 0.349 0.081 0.779
O12 0.349 0.419 0.279
O13 0.355 0.550 0.825
O14 0.355 0.950 0.325
O15 0.455 0.710 0.256
O16 0.455 0.790 0.756
O17 0.545 0.210 0.244
O18 0.545 0.290 0.744
O19 0.645 0.050 0.675
O20 0.645 0.450 0.175
O21 0.651 0.581 0.721
O22 0.651 0.919 0.221
O23 0.696 0.109 0.988
O24 0.696 0.391 0.488
O25 0.855 0.089 0.473
O26 0.855 0.411 0.973
O27 0.915 0.236 0.746
O28 0.915 0.264 0.246

Results
Energy relative to the elements, uncorrected (meV/atom): -1945
SG: P2_1/c (14)
Calculated density (g/cm³): 3.68

=====

(6)
The following is a DFT calculation (PBEsol) of SrH2Au after structural relaxation.

Unit cell a=6.133 b=6.133 c=6.133 alpha=90.00 beta=90.00 gamma=90.00
Sites, in units of the cell vectors:
Sr1 0.000 0.000 0.000
Sr2 0.000 0.500 0.500
Sr3 0.500 0.000 0.500
Sr4 0.500 0.500 0.000
H1 0.250 0.250 0.250
H2 0.250 0.250 0.750
H3 0.250 0.750 0.250
H4 0.250 0.750 0.750
H5 0.750 0.250 0.250
H6 0.750 0.250 0.750
H7 0.750 0.750 0.250
H8 0.750 0.750 0.750
Au1 0.000 0.000 0.500
Au2 0.000 0.500 0.000
Au3 0.500 0.000 0.000
Au4 0.500 0.500 0.500

Results
SG: Fm-3m (225)
Calculated density (g/cm³): 8.25
Polymorph energy (0 for the lowest one) (eV/f.u.): 0.55

=====

(7)
The following is a DFT calculation (PBEsol) of Ta2MnNi after structural relaxation.

Unit cell a=2.984 b=2.984 c=22.822 alpha=90.00 beta=90.00 gamma=120.00
Sites, in units of the cell vectors:
Ta1 0.000 0.000 0.248
Ta2 0.000 0.000 0.752
Ta3 0.333 0.667 0.419
Ta4 0.333 0.667 0.914
Ta5 0.667 0.333 0.086
Ta6 0.667 0.333 0.581
Mn1 0.000 0.000 0.500
Mn2 0.333 0.667 0.167
Mn3 0.667 0.333 0.833
Ni1 0.000 0.000 0.000
Ni2 0.333 0.667 0.667
Ni3 0.667 0.333 0.333

Results
Formation energy (eV/atom): 0.21
SG: R-3m (166)
Calculated density (g/cm³): 13.46
Polymorph energy (0 for the lowest one) (eV/f.u.): 0.74

=====

(8)
The following is a DFT calculation (PBEsol) of Ba3SrY8Cu4O20 after structural relaxation.

Unit cell a=7.092 b=5.611 c=12.050 alpha=90.00 beta=90.09 gamma=90.00
Sites, in units of the cell vectors:
Ba1 0.000 0.000 0.000
Ba2 0.137 0.500 0.808
Ba3 0.500 0.500 0.310
Sr1 0.647 0.000 0.497
Y1 0.173 0.000 0.331
Y2 0.185 0.000 0.615
Y3 0.455 0.000 0.118
Y4 0.467 0.000 0.829
Y5 0.672 0.500 0.979
Y6 0.682 0.500 0.691
Y7 0.954 0.500 0.193
Y8 0.964 0.500 0.479
Cu1 0.285 0.500 0.065
Cu2 0.354 0.500 0.564
Cu3 0.784 0.000 0.245
Cu4 0.851 0.000 0.742
O1 0.151 0.000 0.803
O2 0.214 0.253 0.178
O3 0.214 0.747 0.178
O4 0.232 0.257 0.471
O5 0.232 0.743 0.471
O6 0.404 0.256 0.972
O7 0.404 0.744 0.972
O8 0.426 0.252 0.675
O9 0.426 0.748 0.675
O10 0.492 0.000 0.310
O11 0.649 0.500 0.504
O12 0.713 0.246 0.132
O13 0.713 0.754 0.132
O14 0.735 0.244 0.837
O15 0.735 0.756 0.837
O16 0.903 0.242 0.339
O17 0.903 0.758 0.339
O18 0.919 0.243 0.629
O19 0.919 0.757 0.629
O20 0.988 0.500 0.006

Results
Energy relative to the elements, uncorrected (meV/atom): -2747
SG: Pm (6)
Calculated density (g/cm³): 6.18

=====

(9)
The following is a DFT calculation (PBEsol) of ReSnBr2 after structural relaxation.

Unit cell a=3.187 b=3.187 c=32.347 alpha=90.00 beta=90.00 gamma=120.00
Sites, in units of the cell vectors:
Re1 0.000 0.000 0.000
Re2 0.333 0.667 0.667
Re3 0.667 0.333 0.333
Sn1 0.000 0.000 0.500
Sn2 0.333 0.667 0.167
Sn3 0.667 0.333 0.833
Br1 0.000 0.000 0.390
Br2 0.000 0.000 0.610
Br3 0.333 0.667 0.057
Br4 0.333 0.667 0.277
Br5 0.667 0.333 0.723
Br6 0.667 0.333 0.943

Results
Energy relative to the elements, uncorrected (meV/atom): 565
SG: R-3m (166)
Calculated density (g/cm³): 8.14

=====

(10)
The following is a DFT calculation (PBEsol) of UCoSi2 after structural relaxation.

Unit cell a=3.866 b=16.054 c=3.918 alpha=90.00 beta=90.00 gamma=90.00
Sites, in units of the cell vectors:
U1 0.000 0.106 0.250
U2 0.000 0.894 0.750
U3 0.500 0.394 0.750
U4 0.500 0.606 0.250
Co1 0.000 0.324 0.250
Co2 0.000 0.676 0.750
Co3 0.500 0.176 0.750
Co4 0.500 0.824 0.250
Si1 0.000 0.250 0.750
Si2 0.000 0.461 0.250
Si3 0.000 0.539 0.750
Si4 0.000 0.750 0.250
Si5 0.500 0.039 0.750
Si6 0.500 0.250 0.250
Si7 0.500 0.750 0.750
Si8 0.500 0.961 0.250

Results
Energy relative to the elements, uncorrected (meV/atom): -559
SG: Cmcm (63)
Calculated density (g/cm³): 9.65

=====

(11)
The following is a DFT calculation (PBEsol) of Hf3HgAs after structural relaxation.

Unit cell a=4.867 b=4.867 c=4.867 alpha=90.00 beta=90.00 gamma=90.00
Sites, in units of the cell vectors:
Hf1 0.000 0.000 0.500
Hf2 0.000 0.500 0.000
Hf3 0.500 0.000 0.000
Hg1 0.500 0.500 0.500
As1 0.000 0.000 0.000

Results
Formation energy (eV/atom): 0.14
SG: Pm-3m (221)
Calculated density (g/cm³): 11.68

=====

(12)
The following is a DFT calculation (PBEsol) of Bi3O4F after structural relaxation.

Unit cell a=6.530 b=6.530 c=11.190 alpha=90.00 beta=90.00 gamma=144.15
Sites, in units of the cell vectors:
Bi1 0.130 0.870 0.588
Bi2 0.130 0.870 0.912
Bi3 0.171 0.829 0.250
Bi4 0.829 0.171 0.750
Bi5 0.870 0.130 0.088
Bi6 0.870 0.130 0.412
O1 0.035 0.965 0.750
O2 0.250 0.750 0.750
O3 0.278 0.722 0.095
O4 0.278 0.722 0.405
O5 0.722 0.278 0.595
O6 0.722 0.278 0.905
O7 0.750 0.250 0.250
O8 0.965 0.035 0.250
F1 0.500 0.500 0.000
F2 0.500 0.500 0.500

Results
Energy relative to the elements, uncorrected (meV/atom): -1384
SG: Cmcm (63)
Calculated density (g/cm³): 8.44
Polymorph energy (0 for the lowest one) (eV/f.u.): 0.47

=====

(13)
The following is a DFT calculation (PBEsol) of Ta2Ir after structural relaxation.

Unit cell a=4.267 b=4.267 c=3.164 alpha=90.00 beta=90.00 gamma=90.00
Sites, in units of the cell vectors:
Ta1 0.000 0.500 0.000
Ta2 0.500 0.000 0.000
Ir1 0.000 0.000 0.500

Results
Formation energy (eV/atom): 0.25
SG: P4/mmm (123)
Calculated density (g/cm³): 15.98

=====

(14)
The following is a DFT calculation (PBEsol) of SrTi2InNi after structural relaxation.

Unit cell a=5.080 b=5.080 c=5.899 alpha=90.00 beta=90.00 gamma=90.00
Sites, in units of the cell vectors:
Sr1 0.000 0.000 0.000
Ti1 0.000 0.500 0.500
Ti2 0.500 0.000 0.500
In1 0.000 0.000 0.500
Ni1 0.500 0.500 0.000

Results
Formation energy (eV/atom): 1.40
SG: P4/mmm (123)
Calculated density (g/cm³): 3.89

=====

(15)
The following is a DFT calculation (PBEsol) of Al2HgPb after structural relaxation.

Unit cell a=3.268 b=3.268 c=28.423 alpha=90.00 beta=90.00 gamma=120.00
Sites, in units of the cell vectors:
Al1 0.000 0.000 0.000
Al2 0.000 0.000 0.261
Al3 0.333 0.667 0.667
Al4 0.333 0.667 0.928
Al5 0.667 0.333 0.333
Al6 0.667 0.333 0.595
Hg1 0.000 0.000 0.520
Hg2 0.333 0.667 0.187
Hg3 0.667 0.333 0.853
Pb1 0.000 0.000 0.757
Pb2 0.333 0.667 0.424
Pb3 0.667 0.333 0.090

Results
Formation energy (eV/atom): 0.15
SG: R3m (160)
Calculated density (g/cm³): 8.75

=====

(16)
The following is a DFT calculation (PBEsol) of CeTl after structural relaxation.

Unit cell a=3.811 b=3.811 c=3.811 alpha=90.00 beta=90.00 gamma=90.00
Sites, in units of the cell vectors:
Ce1 0.000 0.000 0.000
Tl1 0.500 0.500 0.500

Results
Formation energy (eV/atom): -0.17
SG: Pm-3m (221)
Calculated density (g/cm³): 10.33

=====

(17)
The following is a DFT calculation (PBEsol) of NbAsP2O after structural relaxation.

Unit cell a=4.914 b=4.914 c=3.810 alpha=90.00 beta=90.00 gamma=90.00
Sites, in units of the cell vectors:
Nb1 0.000 0.000 0.000
As1 0.500 0.500 0.500
P1 0.000 0.500 0.000
P2 0.500 0.000 0.000
O1 0.000 0.000 0.500

Results
Energy relative to the elements, uncorrected (meV/atom): -190
SG: P4/mmm (123)
Calculated density (g/cm³): 4.44

=====

(18)
The following is a DFT calculation (PBEsol) of CrCuTcPd2 after structural relaxation.

Unit cell a=4.449 b=4.449 c=4.333 alpha=90.00 beta=90.00 gamma=90.00
Sites, in units of the cell vectors:
Cr1 0.000 0.000 0.000
Cu1 0.000 0.000 0.500
Tc1 0.500 0.500 0.000
Pd1 0.000 0.500 0.500
Pd2 0.500 0.000 0.500

Results
Formation energy (eV/atom): 1.32
SG: P4/mmm (123)
Calculated density (g/cm³): 8.26

=====

(19)
The following is a DFT calculation (PBEsol) of Co2Pt after structural relaxation.

Unit cell a=4.029 b=4.029 c=2.598 alpha=90.00 beta=90.00 gamma=120.00
Sites, in units of the cell vectors:
Co1 0.333 0.667 0.000
Co2 0.667 0.333 0.000
Pt1 0.000 0.000 0.500

Results
Formation energy (eV/atom): 0.00
SG: P6/mmm (191)
Calculated density (g/cm³): 14.23

=====

(20)
The following is a DFT calculation (PBEsol) of GaFe2ReAs after structural relaxation.

Unit cell a=4.228 b=4.228 c=4.575 alpha=90.00 beta=90.00 gamma=90.00
Sites, in units of the cell vectors:
Ga1 0.000 0.000 0.000
Fe1 0.000 0.500 0.500
Fe2 0.500 0.000 0.500
Re1 0.500 0.500 0.000
As1 0.500 0.500 0.500

Results
Formation energy (eV/atom): 0.99
SG: P4/mmm (123)
Calculated density (g/cm³): 8.99

=====

(21)
The following is a DFT calculation (PBEsol) of NiAu3 after structural relaxation.

Unit cell a=9.282 b=2.881 c=4.752 alpha=90.00 beta=104.01 gamma=90.00
Sites, in units of the cell vectors:
Ni1 0.000 0.000 0.000
Ni2 0.500 0.500 0.000
Au1 0.000 0.500 0.500
Au2 0.238 0.500 0.239
Au3 0.262 0.000 0.761
Au4 0.500 0.000 0.500
Au5 0.738 0.000 0.239
Au6 0.762 0.500 0.761

Results
Formation energy (eV/atom): 0.08
SG: C2/m (12)
Calculated density (g/cm³): 17.50

=====

(22)
The following is a DFT calculation (PBEsol) of NaSnI3 after structural relaxation.

Unit cell a=5.650 b=5.650 c=5.650 alpha=90.00 beta=90.00 gamma=90.00
Sites, in units of the cell vectors:
Na1 0.000 0.000 0.000
Sn1 0.500 0.500 0.500
I1 0.000 0.000 0.500
I2 0.000 0.500 0.000
I3 0.500 0.000 0.000

Results
Energy relative to the elements, uncorrected (meV/atom): -227
SG: Pm-3m (221)
Calculated density (g/cm³): 4.81